TcBAs: optimized geometry, PBE.

Computed properties:
offset from the most stable computed form = 0.000 eV per atom

```
data_TcBAs
_cell_length_a 5.391
_cell_length_b 5.391
_cell_length_c 5.391
_cell_angle_alpha 90.00
_cell_angle_beta 90.00
_cell_angle_gamma 90.00
_symmetry_space_group_name_H-M 'F -4 3 m'
_symmetry_Int_Tables_number 216
_symmetry_space_group_name_Hall 'F -4 2 3'
loop_
_atom_site_label
_atom_site_type_symbol
_atom_site_fract_x
_atom_site_fract_y
_atom_site_fract_z
Tc1 Tc 0.000 0.000 0.000
B1 B 0.250 0.250 0.750
As1 As 0.000 0.000 0.500
```

***

LiCd2Pt: optimized geometry, PBE.

Computed properties:
offset from the most stable computed form = 0.223 eV per atom

```
data_LiCd2Pt
_cell_length_a 4.5394
_cell_length_b 4.5394
_cell_length_c 9.0398
_cell_angle_alpha 90.00
_cell_angle_beta 90.00
_cell_angle_gamma 120.00
_symmetry_space_group_name_H-M 'P 63/m m c'
_symmetry_Int_Tables_number 194
_symmetry_space_group_name_Hall '-P 6c 2c'
loop_
_atom_site_label
_atom_site_type_symbol
_atom_site_fract_x
_atom_site_fract_y
_atom_site_fract_z
Li1 Li 0.3333 0.6667 0.2500
Cd1 Cd 0.3333 0.6667 0.5934
Pt1 Pt 0.0000 0.0000 0.0000
```